Na3OsRh3S8 | Alexandria | GGA-PBE | optimized geometry; volume = 19.20 Å³ per atom; calculated total energy = -79.176 eV/f.u.; crystal system = monoclinic; formation energy without anion corrections = -594 meV/atom
1.0
6.255 -3.615 0.000
6.255 3.615 0.000
-4.172 0.000 6.369
Na Os Rh S
3 1 3 8
direct
0.000 0.000 0.000 Na
0.000 0.500 0.000 Na
0.500 0.000 0.000 Na
0.000 0.000 0.500 Os
0.000 0.500 0.500 Rh
0.500 0.000 0.500 Rh
0.500 0.500 0.500 Rh
0.229 0.229 0.688 S
0.229 0.731 0.688 S
0.269 0.771 0.312 S
0.271 0.271 0.312 S
0.729 0.729 0.688 S
0.731 0.229 0.688 S
0.771 0.269 0.312 S
0.771 0.771 0.312 S


Eu3Er | Alexandria | GGA-PBE | optimized geometry; volume = 37.89 Å³ per atom; calculated total energy = -34.909 eV/f.u.; ΔE to the lowest computed polymorph = 27.8 meV/atom; crystal system = cubic; ΔH_f (0 K) = 0.119 eV/atom
1.0
0.000 4.232 4.232
4.232 0.000 4.232
4.232 4.232 0.000
Eu Er
3 1
direct
0.000 0.000 0.000 Eu
0.250 0.250 0.250 Eu
0.750 0.750 0.750 Eu
0.500 0.500 0.500 Er


ErV6Ga6 | Alexandria | GGA-PBE | optimized geometry; volume = 15.98 Å³ per atom; calculated total energy = -80.394 eV/f.u.; crystal system = orthorhombic; ΔH_f (0 K) = -0.228 eV/atom
1.0
-2.588 4.446 4.513
2.588 -4.446 4.513
2.588 4.446 -4.513
Er V Ga
1 6 6
direct
0.000 0.000 0.000 Er
0.000 0.000 0.500 V
0.000 0.500 0.000 V
0.242 0.742 0.500 V
0.500 0.000 0.000 V
0.500 0.500 0.500 V
0.758 0.258 0.500 V
0.182 0.500 0.682 Ga
0.316 0.316 0.000 Ga
0.344 0.000 0.344 Ga
0.656 0.000 0.656 Ga
0.684 0.684 0.000 Ga
0.818 0.500 0.318 Ga


Question: What is the formula in the second record?
Answer: Eu3Er


Question: Look up the volume of the second one.
Answer: 37.89 Å³ per atom


Question: What is the formula in the third record?
Answer: ErV6Ga6


Repeat the first record exactly.
Na3OsRh3S8 | Alexandria | GGA-PBE | optimized geometry; volume = 19.20 Å³ per atom; calculated total energy = -79.176 eV/f.u.; crystal system = monoclinic; formation energy without anion corrections = -594 meV/atom
1.0
6.255 -3.615 0.000
6.255 3.615 0.000
-4.172 0.000 6.369
Na Os Rh S
3 1 3 8
direct
0.000 0.000 0.000 Na
0.000 0.500 0.000 Na
0.500 0.000 0.000 Na
0.000 0.000 0.500 Os
0.000 0.500 0.500 Rh
0.500 0.000 0.500 Rh
0.500 0.500 0.500 Rh
0.229 0.229 0.688 S
0.229 0.731 0.688 S
0.269 0.771 0.312 S
0.271 0.271 0.312 S
0.729 0.729 0.688 S
0.731 0.229 0.688 S
0.771 0.269 0.312 S
0.771 0.771 0.312 S